Computed, not measured: crystalline BaCoSeO at its relaxed geometry at the GGA+U level of DFT.

- E (eV/atom) = -5.14
- V (Å³/f.u.) = 106.4

abc: 7.1920 7.3837 8.0128
angles: 90.00 90.00 90.00
Space group P2_12_12_1 (No. 19)
Inequivalent atoms, fractional coordinates:
Ba (0.0800, 0.1554, 0.3522)
Co (0.1042, 0.1723, 0.7544)
Se (0.1497, 0.4847, 0.8270)
O (0.1858, 0.8988, 0.1515)